VASP calculation (GGA-PBE) on Cs2GaCuBr6 after structural relaxation.

The structure belongs to space group I4/mmm (No. 139); the cell edges are 7.5013, 7.5013 and 11.2140 Å and the angles 90.00°, 90.00° and 90.00°. The inequivalent atoms are Cs at (0.0000, 0.5000, 0.2500), Ga at (0.0000, 0.0000, 0.0000), Cu at (0.0000, 0.0000, 0.5000), Br at (0.0000, 0.0000, 0.2254) and Br at (0.2430, 0.2430, 0.5000).

The calculation puts the formation energy (no corrections) at -1.048 eV per atom.